Entry 1:
The following is a DFT calculation (PBEsol) of ScAlZn2 after structural relaxation.

Calculated formation energy: -0.350 eV/atom
Calculated density: 5.2 Mg/m³
Total moment: 0.00 μB per formula unit

Unit cell a=3.8554 b=4.1013 c=4.1013 alpha=90.00 beta=90.00 gamma=90.00
Closest atoms and distances in Å follow each position.
Fractional coordinates of all 4 atoms:
1 Zn 0.0000 0.5000 0.0000  4 Al 2.81, 4 Sc 2.81, 4 Zn 2.90
2 Al 0.5000 0.5000 0.5000  8 Zn 2.81, 4 Sc 2.90
3 Zn 0.0000 0.0000 0.5000  4 Al 2.81, 4 Sc 2.81, 4 Zn 2.90
4 Sc 0.5000 0.0000 0.0000  8 Zn 2.81, 4 Al 2.90

=====

Entry 2:
The following is a DFT calculation (PBEsol) of AsIrCl2 after structural relaxation.

Calculated density: 8.5 Mg/m³
Energy relative to the lowest polymorph listed for this composition: 1407.8 meV per atom
Total moment: 0.00 μB per formula unit
Formation energy from raw total energies: 3.84 eV/f.u.

Unit cell a=3.8827 b=4.1360 c=4.1360 alpha=90.00 beta=90.00 gamma=90.00
Closest atoms and distances in Å follow each position.
Fractional coordinates of all 4 atoms:
1 Cl 0.0000 0.5000 0.0000  4 As 2.84, 4 Ir 2.84, 4 Cl 2.92
2 Cl 0.0000 0.0000 0.5000  4 Ir 2.84, 4 As 2.84, 4 Cl 2.92
3 As 0.5000 0.0000 0.0000  8 Cl 2.84, 4 Ir 2.92
4 Ir 0.5000 0.5000 0.5000  8 Cl 2.84, 4 As 2.92

=====

Entry 3:
The following is a DFT calculation (PBEsol) of YFePt2Au after structural relaxation.

Calculated formation energy: 1.373 eV/atom
Calculated density: 9.6 Mg/m³
Total moment: 3.63 μB per formula unit

Unit cell a=4.9701 b=4.9701 c=5.1195 alpha=90.00 beta=90.00 gamma=90.00
Closest atoms and distances in Å follow each position.
Fractional coordinates of all 5 atoms:
1 Pt 0.0000 0.5000 0.0000  2 Y 2.49
2 Pt 0.5000 0.0000 0.0000  2 Y 2.49
3 Y 0.0000 0.0000 0.0000  4 Pt 2.49, 2 Au 2.56
4 Fe 0.5000 0.5000 0.5000  4 Au 3.51, 8 Pt 3.57
5 Au 0.0000 0.0000 0.5000  2 Y 2.56